(1)
First-principles (GGA-PBE) data for crystalline KIn2Cl at its relaxed geometry, as listed in Alexandria.

The calculation puts the density of states at the Fermi level at 2.61 states/eV/f.u. As for the volume: 411.0 Å³ per cell.

The structure belongs to space group R3m (No. 160, hexagonal axes); the cell edges are 4.2157, 4.2157 and 26.7048 Å and the angles 90.00°, 90.00° and 120.00°. The inequivalent atoms are K at (0.0000, 0.0000, 0.0000), In at (0.0000, 0.0000, 0.2218), In at (0.0000, 0.0000, 0.4863) and Cl at (0.0000, 0.0000, 0.7316).

---

(2)
First-principles (GGA-PBE) data for crystalline KInCl2 at its relaxed geometry, as listed in Alexandria.

The calculation puts the density of states at the Fermi level at 0.00 states/eV/f.u. As for the volume: 712.7 Å³ per cell.

The structure belongs to space group I-42d (No. 122); the cell edges are 7.032, 7.032 and 14.413 Å and the angles 90.00°, 90.00° and 90.00°. The inequivalent atoms are K at (0.000, 0.000, 0.000), In at (0.000, 0.000, 0.500) and Cl at (0.249, 0.250, 0.125).

---

(3)
First-principles (GGA-PBE) data for crystalline KIn2Cl at its relaxed geometry, as listed in Alexandria.

The calculation puts the density of states at the Fermi level at 5.19 states/eV/f.u. As for the volume: 540.8 Å³ per cell.

The structure belongs to space group Fm-3m (No. 225); the cell edges are 8.147, 8.147 and 8.147 Å and the angles 90.00°, 90.00° and 90.00°. The inequivalent atoms are K at (0.000, 0.000, 0.000), In at (0.250, 0.250, 0.250) and Cl at (0.000, 0.000, 0.500).

---

(4)
First-principles (GGA-PBE) data for crystalline K12In3Cl5 at its relaxed geometry, as listed in Alexandria.

The calculation puts the density of states at the Fermi level at 11.58 states/eV/f.u. As for the volume: 7712.8 Å³ per cell.

The structure belongs to space group Ia-3d (No. 230); the cell edges are 19.758, 19.758 and 19.758 Å and the angles 90.00°, 90.00° and 90.00°. The inequivalent atoms are K at (0.025, 0.059, 0.651), In at (0.000, 0.250, 0.125), Cl at (0.000, 0.000, 0.000) and Cl at (0.000, 0.250, 0.375).

---

no.,formation energy from raw total energies (eV/f.u.)
1,-2.2
2,-5.2
3,-0.5
4,-16.8